Entry 1:
VASP calculation (PBE-GGA) on a relaxed structure of Dy3Ho5Th3.

Values from the calculation:
Crystal system ... hexagonal
Space-group type ... P-62m

abc: 11.153 11.153 3.458
angles: 90.00 90.00 120.00
Positions (direct):
Dy  0.000  0.410  0.000
Dy  0.410  0.000  0.000
Dy  0.590  0.590  0.000
Ho  0.000  0.659  0.500
Ho  0.333  0.667  0.500
Ho  0.341  0.341  0.500
Ho  0.659  0.000  0.500
Ho  0.667  0.333  0.500
Th  0.000  0.164  0.500
Th  0.164  0.000  0.500
Th  0.836  0.836  0.500


Entry 2:
VASP calculation (PBE-GGA) on a relaxed structure of Dy6HoTh4.

Values from the calculation:
Crystal system ... orthorhombic
Space-group type ... Immm

abc: 18.172 18.172 18.172
angles: 169.18 161.51 21.47
Positions (direct):
Dy  0.095  0.095  0.000
Dy  0.267  0.267  0.000
Dy  0.369  0.369  0.000
Dy  0.631  0.631  0.000
Dy  0.733  0.733  0.000
Dy  0.905  0.905  0.000
Ho  0.000  0.500  0.500
Th  0.182  0.682  0.500
Th  0.456  0.956  0.500
Th  0.544  0.044  0.500
Th  0.818  0.318  0.500


Entry 3:
VASP calculation (PBE-GGA) on a relaxed structure of Dy3Ho8Th4.

Values from the calculation:
Crystal system ... monoclinic
Space-group type ... C2/m

abc: 9.269 9.269 6.602
angles: 110.61 110.61 87.95
Positions (direct):
Dy  0.000  0.000  0.000
Dy  0.000  0.500  0.000
Dy  0.500  0.000  0.000
Ho  0.249  0.751  0.000
Ho  0.257  0.257  0.001
Ho  0.262  0.262  0.493
Ho  0.362  0.638  0.500
Ho  0.638  0.362  0.500
Ho  0.738  0.738  0.507
Ho  0.743  0.743  0.999
Ho  0.751  0.249  0.000
Th  0.000  0.000  0.500
Th  0.000  0.500  0.500
Th  0.500  0.000  0.500
Th  0.500  0.500  0.000


Entry 4:
VASP calculation (PBE-GGA) on a relaxed structure of DyHoTh.

Values from the calculation:
Crystal system ... orthorhombic
Space-group type ... Cmmm

abc: 8.735 9.089 5.640
angles: 90.00 90.00 90.00
Positions (direct):
Dy  0.000  0.000  0.000
Dy  0.000  0.500  0.500
Dy  0.500  0.000  0.500
Dy  0.500  0.500  0.000
Ho  0.175  0.000  0.500
Ho  0.325  0.500  0.500
Ho  0.675  0.500  0.500
Ho  0.825  0.000  0.500
Th  0.000  0.323  0.000
Th  0.000  0.677  0.000
Th  0.500  0.177  0.000
Th  0.500  0.823  0.000


Entry 5:
VASP calculation (PBE-GGA) on a relaxed structure of Dy3Ho12Th.

Values from the calculation:
Crystal system ... tetragonal
Space-group type ... P4/mmm

abc: 5.000 5.000 19.946
angles: 90.00 90.00 90.00
Positions (direct):
Dy  0.000  0.000  0.000
Dy  0.000  0.000  0.250
Dy  0.000  0.000  0.750
Ho  0.000  0.500  0.125
Ho  0.000  0.500  0.376
Ho  0.000  0.500  0.624
Ho  0.000  0.500  0.875
Ho  0.500  0.000  0.125
Ho  0.500  0.000  0.376
Ho  0.500  0.000  0.624
Ho  0.500  0.000  0.875
Ho  0.500  0.500  0.000
Ho  0.500  0.500  0.249
Ho  0.500  0.500  0.500
Ho  0.500  0.500  0.751
Th  0.000  0.000  0.500


Entry 6:
VASP calculation (PBE-GGA) on a relaxed structure of Dy9Ho3Th2.

Values from the calculation:
Crystal system ... orthorhombic
Space-group type ... Imm2

abc: 9.611 9.611 9.611
angles: 145.84 77.27 113.13
Positions (direct):
Dy  0.000  0.000  0.000
Dy  0.058  0.661  0.397
Dy  0.058  0.838  0.220
Dy  0.264  0.661  0.603
Dy  0.382  0.162  0.220
Dy  0.619  0.838  0.780
Dy  0.736  0.339  0.397
Dy  0.942  0.339  0.603
Dy  0.943  0.162  0.780
Ho  0.308  0.308  0.000
Ho  0.500  0.000  0.500
Ho  0.692  0.692  0.000
Th  0.315  0.500  0.815
Th  0.686  0.500  0.185


Entry 7:
VASP calculation (PBE-GGA) on a relaxed structure of DyHoTh.

Values from the calculation:
Crystal system ... trigonal
Space-group type ... P3m1

abc: 3.564 3.564 8.638
angles: 90.00 90.00 120.00
Positions (direct):
Dy  0.000  0.000  0.000
Ho  0.667  0.333  0.345
Th  0.333  0.667  0.672


Entry 8:
VASP calculation (PBE-GGA) on a relaxed structure of DyHo2Th4.

Values from the calculation:
Crystal system ... tetragonal
Space-group type ... I4/mmm

abc: 5.674 5.674 16.345
angles: 90.00 90.00 90.00
Positions (direct):
Dy  0.000  0.000  0.000
Dy  0.500  0.500  0.500
Ho  0.000  0.000  0.386
Ho  0.000  0.000  0.614
Ho  0.500  0.500  0.114
Ho  0.500  0.500  0.886
Th  0.000  0.000  0.186
Th  0.000  0.000  0.814
Th  0.000  0.500  0.000
Th  0.000  0.500  0.500
Th  0.500  0.000  0.000
Th  0.500  0.000  0.500
Th  0.500  0.500  0.314
Th  0.500  0.500  0.686


Entry 9:
VASP calculation (PBE-GGA) on a relaxed structure of Dy3HoTh.

Values from the calculation:
Crystal system ... triclinic
Space-group type ... P-1

abc: 6.239 6.732 8.443
angles: 103.16 111.47 90.20
Positions (direct):
Dy  0.021  0.444  0.198
Dy  0.384  0.341  0.596
Dy  0.410  0.247  0.999
Dy  0.590  0.753  0.001
Dy  0.616  0.659  0.404
Dy  0.979  0.556  0.802
Ho  0.217  0.846  0.599
Ho  0.783  0.154  0.401
Th  0.175  0.946  0.197
Th  0.825  0.054  0.803


Entry 10:
VASP calculation (PBE-GGA) on a relaxed structure of Dy5Ho4Th2.

Values from the calculation:
Crystal system ... orthorhombic
Space-group type ... Immm

abc: 13.168 13.168 13.168
angles: 165.14 139.22 43.64
Positions (direct):
Dy  0.000  0.000  0.000
Dy  0.165  0.343  0.822
Dy  0.479  0.657  0.822
Dy  0.521  0.343  0.178
Dy  0.835  0.657  0.178
Ho  0.240  0.740  0.500
Ho  0.316  0.500  0.816
Ho  0.684  0.500  0.184
Ho  0.760  0.260  0.500
Th  0.108  0.608  0.500
Th  0.892  0.392  0.500


Entry 11:
VASP calculation (PBE-GGA) on a relaxed structure of Dy5Ho3Th.

Values from the calculation:
Crystal system ... monoclinic
Space-group type ... C2/m

abc: 9.353 9.353 12.250
angles: 126.78 126.78 50.14
Positions (direct):
Dy  0.180  0.820  0.000
Dy  0.202  0.202  0.073
Dy  0.223  0.639  0.213
Dy  0.361  0.777  0.787
Dy  0.376  0.376  0.433
Dy  0.624  0.624  0.567
Dy  0.639  0.223  0.213
Dy  0.777  0.361  0.787
Dy  0.798  0.798  0.927
Dy  0.820  0.180  0.000
Ho  0.000  0.000  0.500
Ho  0.119  0.119  0.318
Ho  0.332  0.332  0.661
Ho  0.500  0.500  0.000
Ho  0.668  0.668  0.339
Ho  0.881  0.881  0.682
Th  0.262  0.262  0.864
Th  0.738  0.738  0.136


Entry 12:
VASP calculation (PBE-GGA) on a relaxed structure of Dy7HoTh3.

Values from the calculation:
Crystal system ... trigonal
Space-group type ... P3m1

abc: 7.064 7.064 8.524
angles: 90.00 90.00 120.00
Positions (direct):
Dy  0.000  0.000  0.000
Dy  0.165  0.331  0.341
Dy  0.165  0.835  0.341
Dy  0.501  0.003  0.004
Dy  0.501  0.499  0.004
Dy  0.669  0.835  0.341
Dy  0.997  0.499  0.004
Ho  0.667  0.333  0.344
Th  0.334  0.167  0.672
Th  0.833  0.167  0.672
Th  0.833  0.666  0.672


Entry 13:
VASP calculation (PBE-GGA) on a relaxed structure of DyHo2Th2.

Values from the calculation:
Crystal system ... orthorhombic
Space-group type ... Fddd

abc: 14.253 11.678 8.533
angles: 88.26 54.98 36.75
Positions (direct):
Dy  0.125  0.125  0.125
Dy  0.875  0.875  0.875
Ho  0.206  0.544  0.206
Ho  0.456  0.794  0.456
Ho  0.544  0.206  0.544
Ho  0.794  0.456  0.794
Th  0.000  0.000  0.000
Th  0.000  0.000  0.500
Th  0.000  0.500  0.000
Th  0.500  0.000  0.000


Entry 14:
VASP calculation (PBE-GGA) on a relaxed structure of Dy3Ho2Th3.

Values from the calculation:
Crystal system ... orthorhombic
Space-group type ... Pmmm

abc: 5.010 5.028 10.071
angles: 90.00 90.00 90.00
Positions (direct):
Dy  0.000  0.000  0.000
Dy  0.000  0.000  0.500
Dy  0.500  0.500  0.000
Ho  0.500  0.000  0.251
Ho  0.500  0.000  0.749
Th  0.000  0.500  0.250
Th  0.000  0.500  0.750
Th  0.500  0.500  0.500


Entry 15:
VASP calculation (PBE-GGA) on a relaxed structure of Dy2Ho3Th4.

Values from the calculation:
Crystal system ... monoclinic
Space-group type ... C2/m

abc: 7.917 7.917 8.009
angles: 107.72 107.72 37.03
Positions (direct):
Dy  0.059  0.059  0.333
Dy  0.941  0.941  0.667
Ho  0.385  0.385  0.329
Ho  0.500  0.500  0.000
Ho  0.615  0.615  0.671
Th  0.169  0.169  0.004
Th  0.277  0.277  0.667
Th  0.723  0.723  0.333
Th  0.831  0.831  0.996


Entry 16:
VASP calculation (PBE-GGA) on a relaxed structure of DyHo3Th3.

Values from the calculation:
Crystal system ... trigonal
Space-group type ... R3m

abc: 6.646 6.646 6.646
angles: 108.86 108.86 108.86
Positions (direct):
Dy  0.000  0.000  0.000
Ho  0.103  0.482  0.482
Ho  0.482  0.103  0.482
Ho  0.482  0.482  0.103
Th  0.529  0.988  0.988
Th  0.988  0.529  0.988
Th  0.988  0.988  0.529


Entry 17:
VASP calculation (PBE-GGA) on a relaxed structure of DyHoTh.

Values from the calculation:
Crystal system ... tetragonal
Space-group type ... I4mm

abc: 3.572 3.572 14.932
angles: 90.00 90.00 90.00
Positions (direct):
Dy  0.000  0.000  0.000
Dy  0.500  0.500  0.500
Ho  0.000  0.000  0.677
Ho  0.500  0.500  0.177
Th  0.000  0.000  0.338
Th  0.500  0.500  0.838


Entry 18:
VASP calculation (PBE-GGA) on a relaxed structure of Dy5Ho6Th.

Values from the calculation:
Crystal system ... orthorhombic
Space-group type ... Immm

abc: 9.370 9.370 9.370
angles: 149.04 115.48 73.28
Positions (direct):
Dy  0.000  0.000  0.000
Dy  0.167  0.667  0.500
Dy  0.334  0.334  0.000
Dy  0.666  0.666  0.000
Dy  0.833  0.333  0.500
Ho  0.086  0.835  0.251
Ho  0.252  0.500  0.752
Ho  0.416  0.165  0.251
Ho  0.584  0.835  0.749
Ho  0.748  0.500  0.248
Ho  0.914  0.165  0.749
Th  0.500  0.000  0.500


Entry 19:
VASP calculation (PBE-GGA) on a relaxed structure of Dy4Ho3Th.

Values from the calculation:
Crystal system ... orthorhombic
Space-group type ... Pmn2_1

abc: 11.325 7.218 6.234
angles: 90.00 90.00 90.00
Positions (direct):
Dy  0.000  0.126  0.000
Dy  0.000  0.870  0.502
Dy  0.250  0.127  0.342
Dy  0.250  0.873  0.842
Dy  0.500  0.130  0.002
Dy  0.500  0.874  0.500
Dy  0.750  0.127  0.342
Dy  0.750  0.873  0.842
Ho  0.000  0.378  0.502
Ho  0.249  0.378  0.831
Ho  0.251  0.622  0.331
Ho  0.500  0.622  0.002
Ho  0.749  0.622  0.331
Ho  0.751  0.378  0.831
Th  0.000  0.624  0.003
Th  0.500  0.376  0.503


Entry 20:
VASP calculation (PBE-GGA) on a relaxed structure of DyHoTh6.

Values from the calculation:
Crystal system ... tetragonal
Space-group type ... P4/mmm

abc: 5.045 5.045 10.093
angles: 90.00 90.00 90.00
Positions (direct):
Dy  0.000  0.000  0.000
Ho  0.000  0.000  0.500
Th  0.000  0.500  0.250
Th  0.000  0.500  0.750
Th  0.500  0.000  0.250
Th  0.500  0.000  0.750
Th  0.500  0.500  0.000
Th  0.500  0.500  0.500


| no. | D(E_F) (states/eV/atom) | formation enthalpy at 0 K (eV per atom) | final energy (eV per atom) |
| --- | --- | --- | --- |
| 1 | 1.857 | 0.41 | -4.95 |
| 2 | 1.398 | 0.16 | -5.46 |
| 3 | 2.000 | 0.44 | -4.90 |
| 4 | 2.051 | 1.01 | -4.52 |
| 5 | 1.364 | 0.02 | -4.74 |
| 6 | 1.455 | 0.14 | -4.86 |
| 7 | 1.623 | 0.02 | -5.51 |
| 8 | 2.396 | 0.97 | -5.23 |
| 9 | 1.611 | 0.03 | -5.13 |
| 10 | 1.643 | 0.51 | -4.59 |
| 11 | 1.440 | 0.45 | -4.45 |
| 12 | 1.391 | 0.21 | -5.16 |
| 13 | 1.647 | 0.44 | -5.27 |
| 14 | 1.423 | 0.04 | -5.61 |
| 15 | 1.374 | 0.03 | -5.81 |
| 16 | 1.052 | 0.31 | -5.49 |
| 17 | 1.449 | 0.02 | -5.51 |
| 18 | 1.410 | 0.03 | -4.80 |
| 19 | 1.720 | 0.02 | -4.92 |
| 20 | 1.701 | 0.06 | -6.66 |